No. 1
## SiTeOs2 (PBE)

Data for a geometry-optimized SiTeOs2 structure.

Energy, eV per formula unit: -28.68
Total magnetic moment, μB/f.u.: 0.0
Distance to the lowest polymorph of the same formula, meV per atom: 294
Formation energy from raw total energies, meV/atom: 586

a b c (Å): 4.417 4.417 3.238
angles (deg): 90.00 90.00 90.00
Positions (direct):
Si 0.000 0.000 0.000
Te 0.500 0.500 0.000
Os 0.000 0.500 0.500
Os 0.500 0.000 0.500


No. 2
## SiTeOs2 (PBE)

Data for a geometry-optimized SiTeOs2 structure.

Energy, eV per formula unit: -29.21
Total magnetic moment, μB/f.u.: 0.0
Distance to the lowest polymorph of the same formula, meV per atom: 162
Formation energy from raw total energies, meV/atom: 454

a b c (Å): 2.956 2.956 7.746
angles (deg): 90.00 90.00 90.00
Positions (direct):
Si 0.000 0.000 0.000
Te 0.500 0.500 0.333
Os 0.000 0.000 0.581
Os 0.500 0.500 0.813


Number 2 is which compound? SiTeOs2


Which value of energy does entry 2 give? -29.21 eV per formula unit